(1)
ZrBe4Al | PBE-GGA | optimized geometry

The structure in CIF format:
```
data_ZrBe4Al
_space_group_name_H-M_alt 'F -4 3 m'
_space_group_IT_number 216
_space_group_name_Hall 'F -4 2 3'
_cell_length_a 6.5782
_cell_length_b 6.5782
_cell_length_c 6.5782
_cell_angle_alpha 90.00
_cell_angle_beta 90.00
_cell_angle_gamma 90.00
loop_
_atom_site_label
_atom_site_type_symbol
_atom_site_fract_x
_atom_site_fract_y
_atom_site_fract_z
Zr1 Zr 0.0000 0.0000 0.0000
Be1 Be 0.1287 0.1287 0.3713
Al1 Al 0.2500 0.2500 0.7500
```

## Properties
The total magnetic moment comes out at 0.0 μB per formula unit. For the density of states at the Fermi level, the calculation gives 0.68 states/eV/atom. The value obtained for the energy of formation from the pure elements is 0.018 eV per atom. The total DFT energy (no corrections) is -4.515 eV/atom.

***

(2)
LaThTiN3 | PBE-GGA | optimized geometry

The structure in CIF format:
```
data_LaThTiN3
_space_group_name_H-M_alt 'P 1 21/m 1'
_space_group_IT_number 11
_cell_length_a 7.5841
_cell_length_b 3.6473
_cell_length_c 7.7548
_cell_angle_alpha 90.00
_cell_angle_beta 95.98
_cell_angle_gamma 90.00
loop_
_space_group_symop_operation_xyz
'x,y,z'
'-x,-y,-z'
'-x,y+1/2,-z'
'x,-y+1/2,z'
loop_
_atom_site_label
_atom_site_type_symbol
_atom_site_fract_x
_atom_site_fract_y
_atom_site_fract_z
La1 La 0.1598 0.2500 0.1642
Th1 Th 0.3714 0.7500 0.8231
Ti1 Ti 0.1001 0.2500 0.5901
N1 N 0.1280 0.2500 0.8454
N2 N 0.1598 0.7500 0.5100
N3 N 0.3998 0.7500 0.1245
```

## Properties
The total magnetic moment comes out at 0.1 μB per formula unit. For the density of states at the Fermi level, the calculation gives 0.59 states/eV/atom. Its uncorrected formation energy is -1310.6 meV/atom. The total DFT energy (no corrections) is -8.847 eV/atom.

***

(3)
TlTc2SbS | PBE-GGA | optimized geometry

The structure in CIF format:
```
data_TlTc2SbS
_space_group_name_H-M_alt 'P 4/m m m'
_space_group_IT_number 123
_space_group_name_Hall '-P 4 2'
_cell_length_a 5.0272
_cell_length_b 5.0272
_cell_length_c 5.8527
_cell_angle_alpha 90.00
_cell_angle_beta 90.00
_cell_angle_gamma 90.00
loop_
_atom_site_label
_atom_site_type_symbol
_atom_site_fract_x
_atom_site_fract_y
_atom_site_fract_z
Tl1 Tl 0.0000 0.0000 0.0000
Tc1 Tc 0.0000 0.5000 0.5000
Sb1 Sb 0.0000 0.0000 0.5000
S1 S 0.5000 0.5000 0.0000
```

## Properties
The total magnetic moment comes out at 5.0 μB per formula unit. For the density of states at the Fermi level, the calculation gives 0.58 states/eV/atom. Its uncorrected formation energy is 1617.7 meV/atom. The total DFT energy (no corrections) is -4.652 eV/atom.

***

(4)
LaReSi | PBE-GGA | optimized geometry

The structure in CIF format:
```
data_LaReSi
_space_group_name_H-M_alt 'F -4 3 m'
_space_group_IT_number 216
_space_group_name_Hall 'F -4 2 3'
_cell_length_a 6.4128
_cell_length_b 6.4128
_cell_length_c 6.4128
_cell_angle_alpha 90.00
_cell_angle_beta 90.00
_cell_angle_gamma 90.00
loop_
_atom_site_label
_atom_site_type_symbol
_atom_site_fract_x
_atom_site_fract_y
_atom_site_fract_z
La1 La 0.0000 0.0000 0.0000
Re1 Re 0.2500 0.2500 0.7500
Si1 Si 0.0000 0.0000 0.5000
```

## Properties
The total magnetic moment comes out at 0.0 μB per formula unit. For the density of states at the Fermi level, the calculation gives 0.77 states/eV/atom. Its uncorrected formation energy is 336.7 meV/atom. The total DFT energy (no corrections) is -7.263 eV/atom.

***

(5)
Na2TlCuBr6 | PBE-GGA | optimized geometry

The structure in CIF format:
```
data_Na2TlCuBr6
_space_group_name_H-M_alt 'P 1 21/c 1'
_space_group_IT_number 14
_cell_length_a 7.0144
_cell_length_b 7.5729
_cell_length_c 12.4398
_cell_angle_alpha 90.00
_cell_angle_beta 119.96
_cell_angle_gamma 90.00
loop_
_space_group_symop_operation_xyz
'x,y,z'
'-x,-y,-z'
'-x,y+1/2,-z+1/2'
'x,-y+1/2,z+1/2'
loop_
_atom_site_label
_atom_site_type_symbol
_atom_site_fract_x
_atom_site_fract_y
_atom_site_fract_z
Na1 Na 0.1921 0.1008 0.2313
Tl1 Tl 0.5000 0.0000 0.0000
Cu1 Cu 0.0000 0.0000 0.5000
Br1 Br 0.1210 0.1995 0.9433
Br2 Br 0.2164 0.6663 0.9275
Br3 Br 0.3836 0.0284 0.7477
```

## Properties
The total magnetic moment comes out at 0.0 μB per formula unit. For the polymorph energy (0 for the lowest one), the calculation gives 0.0 meV/atom. For the density of states at the Fermi level, the calculation gives 0.13 states/eV/atom. Its uncorrected formation energy is -842.5 meV/atom. The total DFT energy (no corrections) is -2.756 eV/atom.

***

(6)
HIBr3 | PBE-GGA | optimized geometry

The structure in CIF format:
```
data_HIBr3
_space_group_name_H-M_alt 'P m -3 m'
_space_group_IT_number 221
_space_group_name_Hall '-P 4 2 3'
_cell_length_a 4.8406
_cell_length_b 4.8406
_cell_length_c 4.8406
_cell_angle_alpha 90.00
_cell_angle_beta 90.00
_cell_angle_gamma 90.00
loop_
_atom_site_label
_atom_site_type_symbol
_atom_site_fract_x
_atom_site_fract_y
_atom_site_fract_z
H1 H 0.0000 0.0000 0.0000
I1 I 0.5000 0.5000 0.5000
Br1 Br 0.0000 0.0000 0.5000
```

## Properties
The total magnetic moment comes out at 0.0 μB per formula unit. For the polymorph energy (0 for the lowest one), the calculation gives 130.6 meV/atom. For the density of states at the Fermi level, the calculation gives 0.85 states/eV/atom. The total DFT energy (no corrections) is -1.332 eV/atom.